Entry from Alexandria: crystalline Sr2WO5 at its relaxed geometry (GGA+U).

Summary:
ρ: 5.249 Mg/m³
symmetry: No. 63
energy relative to the lowest polymorph listed for this composition: 0.075 eV/atom
total moment: 0.0 Bohr magnetons per cell
crystal system: orthorhombic
density of states at the Fermi level: 0.00 states/eV/f.u.

Lattice parameters (Å, degrees): 6.5252 6.5252 11.1092 90.00 90.00 144.03
Closest atoms and distances in Å follow each position.
Sites, in units of the cell vectors:
Sr: 0.1399 0.8601 0.5686  5 O 2.39-2.61
Sr: 0.1399 0.8601 0.9314  5 O 2.39-2.61
Sr: 0.8601 0.1399 0.0686  5 O 2.39-2.61
Sr: 0.8601 0.1399 0.4314  5 O 2.39-2.61
W: 0.1563 0.8437 0.2500  6 O 1.89-2.02
W: 0.8437 0.1563 0.7500  6 O 1.89-2.02
O: 0.0494 0.9506 0.1284  1 W 1.89
O: 0.0494 0.9506 0.3716  1 W 1.89
O: 0.2666 0.7334 0.1194  1 W 2.00
O: 0.2666 0.7334 0.3806  1 W 2.00
O: 0.3274 0.6726 0.7500  2 W 2.02
O: 0.6726 0.3274 0.2500  2 W 2.02
O: 0.7334 0.2666 0.6194  1 W 2.00
O: 0.7334 0.2666 0.8806  1 W 2.00
O: 0.9506 0.0494 0.6284  1 W 1.89
O: 0.9506 0.0494 0.8716  1 W 1.89